Entry 1:
A plane-wave DFT calculation with PBE-GGA was carried out for BaAs12Os4 after structural relaxation.

Unit cell a=7.5156 b=7.5156 c=7.5156 alpha=109.47 beta=109.47 gamma=109.47
Sites, in units of the cell vectors:
Ba  0.0000  0.0000  0.0000
As  0.1516  0.3516  0.5033
As  0.1516  0.6484  0.8000
As  0.2000  0.8484  0.3516
As  0.3516  0.2000  0.8484
As  0.3516  0.5033  0.1516
As  0.4967  0.8484  0.6484
As  0.5033  0.1516  0.3516
As  0.6484  0.4967  0.8484
As  0.6484  0.8000  0.1516
As  0.8000  0.1516  0.6484
As  0.8484  0.3516  0.2000
As  0.8484  0.6484  0.4967
Os  0.0000  0.0000  0.5000
Os  0.0000  0.5000  0.0000
Os  0.5000  0.0000  0.0000
Os  0.5000  0.5000  0.5000

Properties
uncorrected energy: -6.334 eV/atom
SG: Im-3



Entry 2:
A plane-wave DFT calculation with PBE-GGA was carried out for BaAs2Os after structural relaxation.

Unit cell a=7.7252 b=7.7252 c=7.7252 alpha=154.43 beta=152.21 gamma=38.12
Sites, in units of the cell vectors:
Ba  0.0000  0.0000  0.0000
As  0.6376  0.6376  0.0000
As  0.8122  0.3122  0.5000
Os  0.2459  0.7459  0.5000

Properties
uncorrected energy: -5.647 eV/atom
SG: Imm2
energy above the most stable polymorph in this dataset: 0.361 eV/atom



Entry 3:
A plane-wave DFT calculation with PBE-GGA was carried out for BaAs2Os after structural relaxation.

Unit cell a=5.4581 b=5.4581 c=5.4581 alpha=135.41 beta=108.03 gamma=88.76
Sites, in units of the cell vectors:
Ba  0.0000  0.0000  0.0000
As  0.3310  0.8310  0.5000
As  0.6690  0.1690  0.5000
Os  0.5000  0.5000  0.0000

Properties
uncorrected energy: -5.755 eV/atom
SG: Immm
energy above the most stable polymorph in this dataset: 0.253 eV/atom



Entry 4:
A plane-wave DFT calculation with PBE-GGA was carried out for RbBaAsOs2 after structural relaxation.

Unit cell a=4.7272 b=4.7272 c=5.9697 alpha=90.00 beta=90.00 gamma=90.00
Sites, in units of the cell vectors:
Rb  0.0000  0.0000  0.0000
Ba  0.5000  0.5000  0.0000
As  0.5000  0.5000  0.5000
Os  0.0000  0.5000  0.5000
Os  0.5000  0.0000  0.5000

Properties
uncorrected energy: -5.030 eV/atom
SG: P4/mmm



Entry 5:
A plane-wave DFT calculation with PBE-GGA was carried out for BaVAsOs2 after structural relaxation.

Unit cell a=4.7244 b=4.7244 c=4.8609 alpha=90.00 beta=90.00 gamma=90.00
Sites, in units of the cell vectors:
Ba  0.0000  0.0000  0.0000
V  0.5000  0.5000  0.5000
As  0.5000  0.5000  0.0000
Os  0.0000  0.5000  0.5000
Os  0.5000  0.0000  0.5000

Properties
uncorrected energy: -6.819 eV/atom
SG: P4/mmm



Entry 6:
A plane-wave DFT calculation with PBE-GGA was carried out for BaAsP2 after structural relaxation.

Unit cell a=5.7974 b=5.7974 c=5.7974 alpha=145.77 beta=118.95 gamma=71.89
Sites, in units of the cell vectors:
Ba  0.0000  0.0000  0.0000
As  0.6800  0.1800  0.5000
P  0.3117  0.8117  0.5000
P  0.4747  0.4747  0.0000

Properties
uncorrected energy: -4.561 eV/atom
SG: Imm2



Entry 7:
A plane-wave DFT calculation with PBE-GGA was carried out for BaAs2P after structural relaxation.

Unit cell a=6.1178 b=6.1178 c=6.1178 alpha=138.53 beta=138.53 gamma=60.10
Sites, in units of the cell vectors:
Ba  0.0000  0.0000  0.0000
As  0.2500  0.7500  0.5000
As  0.7500  0.2500  0.5000
P  0.5000  0.5000  0.0000

Properties
uncorrected energy: -4.157 eV/atom
SG: I4/mmm



Entry 8:
A plane-wave DFT calculation with PBE-GGA was carried out for BaAsP after structural relaxation.

Unit cell a=5.4184 b=5.4184 c=5.4184 alpha=129.10 beta=129.10 gamma=74.84
Sites, in units of the cell vectors:
Ba  0.0000  0.0000  0.0000
As  0.6266  0.6266  0.0000
P  0.3732  0.3732  0.0000

Properties
uncorrected energy: -4.598 eV/atom
SG: I4mm
energy above the most stable polymorph in this dataset: 0.085 eV/atom



Entry 9:
A plane-wave DFT calculation with PBE-GGA was carried out for BaAsP after structural relaxation.

Unit cell a=5.0514 b=5.0514 c=5.0514 alpha=60.00 beta=60.00 gamma=60.00
Sites, in units of the cell vectors:
Ba  0.0000  0.0000  0.0000
As  0.5000  0.5000  0.5000
P  0.7500  0.7500  0.7500

Properties
uncorrected energy: -4.182 eV/atom
SG: F-43m
energy above the most stable polymorph in this dataset: 0.501 eV/atom



Entry 10:
A plane-wave DFT calculation with PBE-GGA was carried out for BaAsP after structural relaxation.

Unit cell a=5.2055 b=5.2055 c=5.2055 alpha=60.00 beta=60.00 gamma=60.00
Sites, in units of the cell vectors:
Ba  0.0000  0.0000  0.0000
As  0.7500  0.7500  0.7500
P  0.2500  0.2500  0.2500

Properties
uncorrected energy: -3.776 eV/atom
SG: F-43m
energy above the most stable polymorph in this dataset: 0.907 eV/atom



Entry 11:
A plane-wave DFT calculation with PBE-GGA was carried out for BaAs2P after structural relaxation.

Unit cell a=5.0255 b=4.4421 c=5.0400 alpha=90.00 beta=98.07 gamma=90.00
Sites, in units of the cell vectors:
Ba  0.0000  0.0000  0.0000
As  0.4051  0.5000  0.7581
As  0.5949  0.5000  0.2419
P  0.5000  0.0000  0.5000

Properties
uncorrected energy: -4.565 eV/atom
SG: P2/m



Entry 12:
A plane-wave DFT calculation with PBE-GGA was carried out for BaAsP2 after structural relaxation.

Unit cell a=4.6214 b=4.6214 c=4.3401 alpha=90.00 beta=90.00 gamma=90.00
Sites, in units of the cell vectors:
Ba  0.0000  0.0000  0.0000
As  0.5000  0.5000  0.0000
P  0.0000  0.5000  0.5000
P  0.5000  0.0000  0.5000

Properties
uncorrected energy: -4.283 eV/atom
SG: P4/mmm



Entry 13:
A plane-wave DFT calculation with PBE-GGA was carried out for BaAsP after structural relaxation.

Unit cell a=5.9815 b=6.8574 c=8.8122 alpha=90.00 beta=112.53 gamma=90.00
Sites, in units of the cell vectors:
Ba  0.1628  0.1882  0.4106
Ba  0.1628  0.3118  0.9106
Ba  0.8372  0.6882  0.0894
Ba  0.8372  0.8118  0.5894
As  0.4929  0.5051  0.3036
As  0.4929  0.9949  0.8036
As  0.5071  0.0051  0.1964
As  0.5071  0.4949  0.6964
P  0.2893  0.6846  0.4530
P  0.2893  0.8154  0.9530
P  0.7107  0.1846  0.0470
P  0.7107  0.3154  0.5470

Properties
uncorrected energy: -4.683 eV/atom
SG: P2_1/c
energy above the most stable polymorph in this dataset: 0.000 eV/atom



Entry 14:
A plane-wave DFT calculation with PBE-GGA was carried out for BaAs2P after structural relaxation.

Unit cell a=5.4568 b=5.4568 c=5.6655 alpha=109.37 beta=109.37 gamma=39.97
Sites, in units of the cell vectors:
Ba  0.0000  0.0000  0.0000
As  0.1992  0.1992  0.6089
As  0.8008  0.8008  0.3911
P  0.5000  0.5000  0.5000

Properties
uncorrected energy: -4.583 eV/atom
SG: C2/m



Entry 15:
A plane-wave DFT calculation with PBE-GGA was carried out for BaAsP2 after structural relaxation.

Unit cell a=5.1372 b=5.1372 c=5.1372 alpha=60.00 beta=60.00 gamma=60.00
Sites, in units of the cell vectors:
Ba  0.0000  0.0000  0.0000
As  0.7500  0.7500  0.7500
P  0.2500  0.2500  0.2500
P  0.5000  0.5000  0.5000

Properties
uncorrected energy: -4.070 eV/atom
SG: F-43m